Compound: MnInIO2
Source: the Alexandria database
Functional: GGA+U
Structure: relaxed

- Volume: 21.6 A^3/atom
- Total magnetic moment: 10.0 μB/cell
- Total energy: -55.528 eV for the cell shown
- DOS(E_F): 0.06 states/eV per atom

```
data_MnInIO2
_chemical_formula_sum 'Mn2 In2 I2 O4'
_cell_length_a 6.995
_cell_length_b 4.216
_cell_length_c 7.531
_cell_angle_alpha 90.00
_cell_angle_beta 102.88
_cell_angle_gamma 90.00
_symmetry_space_group_name_H-M 'P 1 21/m 1'
_symmetry_Int_Tables_number 11
loop_
_symmetry_equiv_pos_as_xyz
'x,y,z'
'-x,-y,-z'
'-x,y+1/2,-z'
'x,-y+1/2,z'
loop_
_atom_site_label
_atom_site_fract_x
_atom_site_fract_y
_atom_site_fract_z
Mn1 0.072 0.250 0.377
In1 0.149 0.250 0.924
I1 0.451 0.250 0.247
O1 0.024 0.250 0.641
O2 0.073 0.750 0.909
```